(1)
Compound: SrBe2CuNi
Source: the Alexandria database
Functional: GGA-PBE
Structure: relaxed Values from VASP.

Geometry as Quantum ESPRESSO input:
```
&SYSTEM
  ibrav = 0, nat = 5, ntyp = 4
/
ATOMIC_SPECIES
Sr 87.62 Sr.upf
Be 9.01 Be.upf
Cu 63.55 Cu.upf
Ni 58.69 Ni.upf
ATOMIC_POSITIONS crystal
Sr 0.000 0.000 0.000
Be 0.000 0.500 0.500
Be 0.500 0.000 0.500
Cu 0.500 0.500 0.500
Ni 0.500 0.500 0.000
CELL_PARAMETERS angstrom
4.212 0.000 0.000
0.000 4.212 0.000
0.000 0.000 4.715
```

Summary:
- Formation enthalpy at 0 K: 355 meV per atom
- ρ: 4.523 g/cm³



(2)
Compound: Tb2Be3Cu12Ni
Source: the Alexandria database
Functional: GGA-PBE
Structure: relaxed Values from VASP.

Geometry as Quantum ESPRESSO input:
```
&SYSTEM
  ibrav = 0, nat = 18, ntyp = 4
/
ATOMIC_SPECIES
Tb 158.93 Tb.upf
Be 9.01 Be.upf
Cu 63.55 Cu.upf
Ni 58.69 Ni.upf
ATOMIC_POSITIONS crystal
Tb 0.107 0.107 0.107
Tb 0.893 0.893 0.893
Be 0.000 0.500 0.500
Be 0.500 0.000 0.500
Be 0.500 0.500 0.000
Cu 0.124 0.624 0.624
Cu 0.163 0.163 0.602
Cu 0.163 0.602 0.163
Cu 0.376 0.376 0.876
Cu 0.376 0.876 0.376
Cu 0.398 0.837 0.837
Cu 0.602 0.163 0.163
Cu 0.624 0.124 0.624
Cu 0.624 0.624 0.124
Cu 0.837 0.398 0.837
Cu 0.837 0.837 0.398
Cu 0.876 0.376 0.376
Ni 0.500 0.500 0.500
CELL_PARAMETERS angstrom
3.806 2.198 5.570
-3.806 2.198 5.570
0.000 -4.395 5.570
```

Summary:
- Formation enthalpy at 0 K: 342 meV per atom
- ρ: 6.927 g/cm³



So what do the calculations give for M_tot? Going down the list: 0.00, 0.00 μB per atom.